No. 1
First-principles (PBE) data for crystalline PuSiRu2 at its relaxed geometry, as listed in the Alexandria database.

```
4
Lattice="-1.0476 3.3247 0.7716 -1.1534 0.5729 -4.0344 -3.8808 -1.4331 0.9060" Properties=species:S:1:pos:R:3 pbc="T T T"
Ru -0.5767 0.2864 -2.0172
Ru -1.9404 -0.7165 0.4530
Pu -3.0409 1.2323 -1.1784
Si -0.5238 1.6624 0.3858
```

space-group type: P4/mmm, No. 123
VASP energy: -9.85 eV/atom
E_form (uncorrected): -0.274 eV per atom
total moment: 3.88 μB per formula unit

No. 2
First-principles (PBE) data for crystalline LaZnOs2 at its relaxed geometry, as listed in the Alexandria database.

```
4
Lattice="4.7853 0.0003 0.0000 0.4507 4.7641 0.0000 -2.6180 -2.3822 3.2204" Properties=species:S:1:pos:R:3 pbc="T T T"
Os 0.2253 2.3820 1.6102
Os 0.0000 0.0000 0.0000
La 2.3927 0.0002 1.6102
Zn 2.6180 2.3822 0.0000
```

space-group type: I-4m2, No. 119
VASP energy: -6.61 eV/atom
total moment: 0.00 μB per formula unit

No. 3
First-principles (PBE) data for crystalline TbFeCuC at its relaxed geometry, as listed in the Alexandria database.

```
8
Lattice="-0.0328 -3.2143 -1.1298 3.2671 -0.3502 0.9015 -2.7584 -3.0669 8.8051" Properties=species:S:1:pos:R:3 pbc="T T T"
Tb -1.2834 -3.2170 6.6205
Tb 1.7592 -3.4144 1.9563
C 0.5279 -1.2032 0.8388
C -0.0520 -5.4282 7.7379
Cu -0.5870 -4.0317 3.7805
Cu 1.0629 -2.5997 4.7962
Fe 2.4421 -1.0662 0.3937
Fe 0.7922 -2.4983 -0.6220
```

space-group type: P4/nmm, No. 129
VASP energy: -6.75 eV/atom
total moment: 0.00 μB per formula unit

No. 4
First-principles (PBE) data for crystalline CoOsCl2 at its relaxed geometry, as listed in the Alexandria database.

```
4
Lattice="-2.6975 1.0576 -0.5934 0.0279 -1.7920 -3.3208 -2.9696 -5.8245 3.1181" Properties=species:S:1:pos:R:3 pbc="T T T"
Cl -2.3755 -2.4084 -0.8643
Cl -2.6820 -5.2604 2.8161
Co -1.7131 -3.3600 1.7988
Os -3.3230 -4.2668 0.1305
```

space-group type: Pmm2, No. 25
VASP energy: -4.91 eV/atom
E_form (uncorrected): 0.601 eV per atom
total moment: 2.41 μB per formula unit

No. 5
First-principles (PBE) data for crystalline ScAlAs2Se at its relaxed geometry, as listed in the Alexandria database.

```
5
Lattice="-2.6525 -1.4257 -4.1598 -3.5638 -2.1488 3.0089 -2.5649 4.4220 0.1200" Properties=species:S:1:pos:R:3 pbc="T T T"
Al -4.3906 0.4238 -0.5154
As -1.3262 -0.7128 -2.0799
As -1.7819 -1.0744 1.5045
Sc 0.0000 0.0000 0.0000
Se -1.2825 2.2110 0.0600
```

space-group type: P4/mmm, No. 123
VASP energy: -4.45 eV/atom
E_form (uncorrected): 0.124 eV per atom
total moment: 0.00 μB per formula unit

No. 6
First-principles (PBE) data for crystalline ScTeHI2 at its relaxed geometry, as listed in the Alexandria database.

```
5
Lattice="5.6798 0.0000 0.0000 0.0000 5.6798 0.0000 0.0000 0.0000 3.9050" Properties=species:S:1:pos:R:3 pbc="T T T"
I 2.8399 0.0000 0.0000
I 0.0000 2.8399 0.0000
Sc 2.8399 2.8399 1.9525
Te 0.0000 0.0000 1.9525
H 0.0000 0.0000 0.0000
```

space-group type: P4/mmm, No. 123
VASP energy: -3.06 eV/atom
total moment: 0.48 μB per formula unit

No. 7
First-principles (PBE) data for crystalline AgSb at its relaxed geometry, as listed in the Alexandria database.

```
4
Lattice="-3.1596 0.1511 0.5693 0.3441 -2.0480 2.4531 1.3302 6.8794 5.5566" Properties=species:S:1:pos:R:3 pbc="T T T"
Ag -0.5663 0.2374 1.3304
Ag -0.9191 4.7451 7.2487
Sb -1.6729 0.8466 4.0998
Sb 0.1875 4.1358 4.4793
```

space-group type: P4/nmm, No. 129
VASP energy: -3.37 eV/atom
E_form (uncorrected): 0.113 eV per atom
total moment: 0.00 μB per formula unit

No. 8
First-principles (PBE) data for crystalline La3Pr3Y at its relaxed geometry, as listed in the Alexandria database.

```
14
Lattice="-3.6361 1.0905 4.6136 3.4630 -8.0819 4.6396 4.4067 8.8022 1.3923" Properties=species:S:1:pos:R:3 pbc="T T T"
Pr 5.7524 -0.7370 6.6420
Pr 3.4675 1.7677 8.1177
Pr 2.0872 -5.8498 4.9619
Pr 0.7662 0.0432 2.5279
Pr 2.1465 7.6606 5.6837
Pr -1.5187 2.5479 4.0036
Y 2.8686 -2.1812 4.7106
Y 1.3651 3.9921 5.9350
La 4.3898 5.1554 4.1753
La 0.5977 0.3137 6.1997
La 1.5236 3.6878 2.2633
La 3.6359 1.4972 4.4459
La -0.1561 -3.3446 6.4703
La 2.7100 -1.8769 8.3822
```

space-group type: P6_3/m, No. 176
VASP energy: -5.05 eV/atom
total moment: 0.00 μB per formula unit